# Hf3CrP GGA-PBE optimized geometry
data_Hf3CrP
_chemical_formula_sum 'Hf3 Cr1 P1'
_cell_length_a 4.749
_cell_length_b 4.749
_cell_length_c 4.749
_cell_angle_alpha 90.00
_cell_angle_beta 90.00
_cell_angle_gamma 90.00
_space_group_name_H-M_alt 'P m -3 m'
_space_group_IT_number 221
_space_group_name_Hall '-P 4 2 3'
loop_
_atom_site_label
_atom_site_type_symbol
_atom_site_fract_x
_atom_site_fract_y
_atom_site_fract_z
_atom_site_occupancy
Hf1 Hf 0.000 0.000 0.500 1
Cr1 Cr 0.500 0.500 0.500 1
P1 P 0.000 0.000 0.000 1
# E = -8.68 eV/atom
# distance to the lowest polymorph of the same formula = 0 meV/atom
# E_form = 0.299 eV per atom